The following is a DFT calculation (PBE) of an optimized crystal structure of LiZn2Ga2.

Unit cell a=3.8611 b=3.8611 c=6.5590 alpha=72.88 beta=72.88 gamma=90.00
Fractional positions:
Zn 0.7500 0.2500 0.5000
Zn 0.2500 0.7500 0.5000
Ga 0.3967 0.3967 0.2065
Ga 0.6033 0.6033 0.7935
Li 0.0000 0.0000 0.0000

Space group: I4/mmm, No. 139
Calculated total energy: -10.90 eV per cell
N(E_F): 1.5 states/eV/cell
Energy of formation: -0.39 eV per formula unit
Calculated volume: 17.8 A^3/atom
Energy above the lowest structure with this stoichiometry: 28 meV per atom